1.
Ac2HgAs3Pt4: optimized geometry, PBE-GGA.

Values from the calculation:
The formation energy from the elements comes out at -0.80 eV per atom. For the density of states at the Fermi level, the calculation gives 6.9 states/eV/cell. The electronic total energy comes out at -5.466 eV/atom. As for the total magnetization: 0.000 Bohr magnetons per cell.

Unit cell a=4.4950 b=4.4950 c=10.7287 alpha=90.00 beta=90.00 gamma=90.00
With the nearest neighbours (Å) after each atom.
Space group P-4m2 (No. 115)
One atom of each set of equivalent atoms:
Ac1 0.0000 0.5000 0.2413 [2 per cell]  8 Pt 3.39-3.43, 6 As 3.43-3.57, 2 Hg 3.57
Hg1 0.0000 0.0000 0.5000 [1 per cell]  4 Pt 2.76
As1 0.0000 0.5000 0.8779 [2 per cell]  5 Pt 2.45-2.60
As2 0.5000 0.5000 0.5000 [1 per cell]  4 Pt 2.76
Pt1 0.0000 0.0000 0.0000 [1 per cell]  4 As 2.60
Pt2 0.0000 0.5000 0.6493 [2 per cell]  1 As 2.45
Pt3 0.5000 0.5000 0.0000 [1 per cell]  4 As 2.60

---

2.
CaTc2Te: optimized geometry, PBE-GGA.

Values from the calculation:
For the density of states at the Fermi level, the calculation gives 1.9 states/eV/cell. The electronic total energy comes out at -6.551 eV/atom. Its energy relative to the elements, uncorrected is -0.33 eV per formula unit. As for the total magnetization: 0.000 Bohr magnetons per cell.

Unit cell a=4.2033 b=4.2033 c=18.3414 alpha=90.00 beta=90.00 gamma=120.00
With the nearest neighbours (Å) after each atom.
Space group R3m (No. 160, hexagonal axes)
One atom of each set of equivalent atoms:
Ca1 0.0000 0.0000 0.0000 [3 per cell]  6 Tc 3.20-3.48, 3 Te 3.30
Tc1 0.0000 0.0000 0.2193 [3 per cell]  3 Tc 2.46
Tc2 0.0000 0.0000 0.5307 [3 per cell]  3 Tc 2.46
Te1 0.0000 0.0000 0.7889 [3 per cell]  6 Tc 2.79-3.01

---

3.
Cs2PmAl2Sb4: optimized geometry, PBE-GGA.

Values from the calculation:
For the density of states at the Fermi level, the calculation gives 7.9 states/eV/cell. The electronic total energy comes out at -3.889 eV/atom. Its energy relative to the elements, uncorrected is -4.57 eV per formula unit. As for the total magnetization: 0.000 Bohr magnetons per cell.

Unit cell a=16.7376 b=4.4174 c=9.2649 alpha=90.00 beta=106.74 gamma=90.00
With the nearest neighbours (Å) after each atom.
Space group C2/m (No. 12)
One atom of each set of equivalent atoms:
Cs1 0.1334 0.0000 0.0498 [4 per cell]  7 Sb 3.87-4.07, 1 Cs 4.29
Pm1 0.0000 0.0000 0.5000 [2 per cell]  6 Sb 3.16-3.27
Al1 0.1683 0.5000 0.4729 [4 per cell]  4 Sb 2.69-2.81
Sb1 0.0170 0.5000 0.2672 [4 per cell]  1 Al 2.69
Sb2 0.2015 0.0000 0.6627 [4 per cell]  3 Al 2.78-2.81

---

4.
YErPt: optimized geometry, PBE-GGA.

Values from the calculation:
Its polymorph energy (0 for the lowest one) is 0 meV/atom. The formation energy from the elements comes out at -0.88 eV per atom. For the density of states at the Fermi level, the calculation gives 4.9 states/eV/cell. The electronic total energy comes out at -6.571 eV/atom. As for the total magnetization: 0.000 Bohr magnetons per cell.

Unit cell a=5.3222 b=4.5368 c=7.2173 alpha=90.00 beta=108.57 gamma=90.00
With the nearest neighbours (Å) after each atom.
Space group P2_1/m (No. 11)
One atom of each set of equivalent atoms:
Y1 0.2330 0.2500 0.4332 [2 per cell]  3 Pt 2.89-2.90
Er1 0.2396 0.2500 0.9489 [2 per cell]  4 Pt 2.83-2.93
Pt1 0.3198 0.7500 0.2117 [2 per cell]  4 Er 2.83-2.93, 3 Y 2.89-2.90

---

Question: electronic total energy of number 4 (YErPt)?
Answer: -6.571 eV/atom

---

Question: What is the formula in the first record?
Answer: Ac2HgAs3Pt4

---

Question: electronic total energy of number 4 (YErPt)?
Answer: -6.571 eV/atom